No. 1
Density functional theory data (PBE) for crystalline Sr2CrSb at its relaxed geometry.

For the density, the calculation gives 4.4 Mg/m³. The calculation puts the energy relative to the elements, uncorrected at -38 kJ/mol of formula units. For the spin magnetization, the calculation gives 8.70 μB per cell.

The space group is Imm2 (No. 44) and the conventional cell measures 4.2669, 5.2169 and 11.7226 Å, with angles of 90.00, 90.00 and 90.00 degrees. Symmetry generates all atoms from Sr at (0.0000, 0.0000, 0.0000), Sr at (0.0000, 0.5000, 0.2195), Cr at (0.0000, 0.0000, 0.4277) and Sb at (0.0000, 0.5000, 0.7713).

***

No. 2
Density functional theory data (PBE) for crystalline SrCrSb at its relaxed geometry.

For the density, the calculation gives 4.9 Mg/m³. The calculation puts the energy relative to the elements, uncorrected at -37 kJ/mol of formula units. For the spin magnetization, the calculation gives 19.87 μB per cell.

The space group is F-43m (No. 216) and the conventional cell measures 7.0556, 7.0556 and 7.0556 Å, with angles of 90.00, 90.00 and 90.00 degrees. Symmetry generates all atoms from Sr at (0.0000, 0.0000, 0.0000), Cr at (0.2500, 0.2500, 0.2500) and Sb at (0.0000, 0.0000, 0.5000).

***

No. 3
Density functional theory data (PBE) for crystalline SrCrSb2 at its relaxed geometry.

For the density, the calculation gives 4.6 Mg/m³. The calculation puts the energy relative to the elements, uncorrected at -38 kJ/mol of formula units. For the spin magnetization, the calculation gives 17.00 μB per cell. The offset from the most stable computed form comes out at 249 meV per atom.

The space group is I-42d (No. 122) and the conventional cell measures 5.5598, 5.5598 and 17.8612 Å, with angles of 90.00, 90.00 and 90.00 degrees. Symmetry generates all atoms from Sr at (0.0000, 0.0000, 0.0000), Cr at (0.0000, 0.0000, 0.5000) and Sb at (0.1131, 0.2500, 0.6250).

***

No. 4
Density functional theory data (PBE) for crystalline SrCrSb2 at its relaxed geometry.

For the density, the calculation gives 5.6 Mg/m³. The calculation puts the energy relative to the elements, uncorrected at -73 kJ/mol of formula units. For the spin magnetization, the calculation gives 6.53 μB per cell. The offset from the most stable computed form comes out at 159 meV per atom.

The space group is Immm (No. 71) and the conventional cell measures 4.5050, 6.3227 and 7.9824 Å, with angles of 90.00, 90.00 and 90.00 degrees. Symmetry generates all atoms from Sr at (0.0000, 0.0000, 0.0000), Cr at (0.0000, 0.0000, 0.5000) and Sb at (0.0000, 0.5000, 0.2014).

***

No. 5
Density functional theory data (PBE) for crystalline Sr2CrSb at its relaxed geometry.

For the density, the calculation gives 4.6 Mg/m³. The calculation puts the energy relative to the elements, uncorrected at -56 kJ/mol of formula units. For the spin magnetization, the calculation gives 4.87 μB per cell.

The space group is P4/mmm (No. 123) and the conventional cell measures 5.3214, 5.3214 and 4.4927 Å, with angles of 90.00, 90.00 and 90.00 degrees. Symmetry generates all atoms from Sr at (0.0000, 0.5000, 0.0000), Cr at (0.0000, 0.0000, 0.5000) and Sb at (0.5000, 0.5000, 0.5000).

***

No. 6
Density functional theory data (PBE) for crystalline SrCr2SbW at its relaxed geometry.

For the density, the calculation gives 6.5 Mg/m³. The calculation puts the energy relative to the elements, uncorrected at 335 kJ/mol of formula units. For the spin magnetization, the calculation gives 6.46 μB per cell.

The space group is P4/mmm (No. 123) and the conventional cell measures 4.9286, 4.9286 and 5.2569 Å, with angles of 90.00, 90.00 and 90.00 degrees. Symmetry generates all atoms from Sr at (0.0000, 0.0000, 0.0000), Cr at (0.0000, 0.5000, 0.5000), Sb at (0.5000, 0.5000, 0.0000) and W at (0.5000, 0.5000, 0.5000).

***

No. 7
Density functional theory data (PBE) for crystalline SrZr2CrSb at its relaxed geometry.

For the density, the calculation gives 4.4 Mg/m³. The calculation puts the energy relative to the elements, uncorrected at 633 kJ/mol of formula units. For the spin magnetization, the calculation gives 0.82 μB per cell.

The space group is P4/mmm (No. 123) and the conventional cell measures 5.3445, 5.3445 and 5.8872 Å, with angles of 90.00, 90.00 and 90.00 degrees. Symmetry generates all atoms from Sr at (0.0000, 0.0000, 0.0000), Zr at (0.0000, 0.5000, 0.5000), Cr at (0.5000, 0.5000, 0.0000) and Sb at (0.0000, 0.0000, 0.5000).

***

No. 8
Density functional theory data (PBE) for crystalline Ta2CrSb at its relaxed geometry.

For the density, the calculation gives 12.7 Mg/m³. The calculation puts the energy relative to the elements, uncorrected at 91 kJ/mol of formula units. For the spin magnetization, the calculation gives 1.02 μB per cell. The offset from the most stable computed form comes out at 104 meV per atom.

The space group is Cmmm (No. 65) and the conventional cell measures 5.6893, 7.4745 and 3.2916 Å, with angles of 90.00, 90.00 and 90.00 degrees. Symmetry generates all atoms from Ta at (0.2500, 0.2500, 0.0000), Cr at (0.0000, 0.0000, 0.5000) and Sb at (0.0000, 0.5000, 0.5000).

***

No. 9
Density functional theory data (PBE) for crystalline TaCrSb at its relaxed geometry.

For the density, the calculation gives 10.6 Mg/m³. The calculation puts the energy relative to the elements, uncorrected at 135 kJ/mol of formula units. For the spin magnetization, the calculation gives 5.89 μB per cell.

The space group is I4mm (No. 107) and the conventional cell measures 3.0481, 3.0481 and 11.9833 Å, with angles of 90.00, 90.00 and 90.00 degrees. Symmetry generates all atoms from Ta at (0.0000, 0.0000, 0.0000), Cr at (0.0000, 0.0000, 0.6502) and Sb at (0.0000, 0.0000, 0.3167).

***

No. 10
Density functional theory data (PBE) for crystalline Ta2CrSb at its relaxed geometry.

For the density, the calculation gives 12.6 Mg/m³. The calculation puts the energy relative to the elements, uncorrected at 66 kJ/mol of formula units. For the spin magnetization, the calculation gives 5.00 μB per cell. The offset from the most stable computed form comes out at 38 meV per atom.

The space group is I4/mmm (No. 139) and the conventional cell measures 3.9558, 3.9558 and 9.0552 Å, with angles of 90.00, 90.00 and 90.00 degrees. Symmetry generates all atoms from Ta at (0.0000, 0.5000, 0.2500), Cr at (0.0000, 0.0000, 0.0000) and Sb at (0.0000, 0.0000, 0.5000).

***

No. 11
Density functional theory data (PBE) for crystalline TaCrSb at its relaxed geometry.

For the density, the calculation gives 10.7 Mg/m³. The calculation puts the energy relative to the elements, uncorrected at 116 kJ/mol of formula units. For the spin magnetization, the calculation gives 0.00 μB per cell.

The space group is P3m1 (No. 156) and the conventional cell measures 3.1774, 3.1774 and 6.3111 Å, with angles of 90.00, 90.00 and 120.00 degrees. Symmetry generates all atoms from Ta at (0.0000, 0.0000, 0.0000), Cr at (0.6667, 0.3333, 0.2748) and Sb at (0.3333, 0.6667, 0.6114).

***

No. 12
Density functional theory data (PBE) for crystalline TaCrSb4 at its relaxed geometry.

For the density, the calculation gives 7.7 Mg/m³. The calculation puts the energy relative to the elements, uncorrected at 626 kJ/mol of formula units. For the spin magnetization, the calculation gives 13.43 μB per cell.

The space group is F-43m (No. 216) and the conventional cell measures 8.5173, 8.5173 and 8.5173 Å, with angles of 90.00, 90.00 and 90.00 degrees. Symmetry generates all atoms from Ta at (0.0000, 0.0000, 0.0000), Cr at (0.2500, 0.2500, 0.7500) and Sb at (0.1253, 0.1253, 0.3747).